# 1
The following is a DFT calculation (GGA-PBE) of crystalline CaNd12In6 at its relaxed geometry.

Computed properties:
- calculated total energy (eV/atom) = -4.1744

Unit cell a=15.4788 b=15.4788 c=8.6512 alpha=90.00 beta=90.00 gamma=120.00
Last column: nearest neighbours and their distance in Å.
Space group R-3 (No. 148, hexagonal axes)
Asymmetric unit:
Ca 0.0000 0.0000 0.0000  12 Nd 3.66-3.74
Nd 0.0015 0.8590 0.6611  4 In 3.30-3.59, 4 Nd 3.38-3.55, 1 Ca 3.66
Nd 0.0590 0.4873 0.6696  4 In 3.31-3.50, 3 Nd 3.38-3.58
In 0.0223 0.7551 0.3339  8 Nd 3.30-3.59, 2 In 3.59



# 2
The following is a DFT calculation (GGA-PBE) of crystalline La2CuSi3Ni4 at its relaxed geometry.

Computed properties:
- calculated total energy (eV/atom) = -5.9849

Unit cell a=4.1389 b=4.1389 c=9.5171 alpha=90.00 beta=90.00 gamma=90.00
Last column: nearest neighbours and their distance in Å.
Space group P-4m2 (No. 115)
Asymmetric unit:
La 0.0000 0.5000 0.2469  8 Ni 3.13-3.18, 2 Cu 3.13, 6 Si 3.13-3.19
Cu 0.5000 0.5000 0.0000  4 Ni 2.42
Si 0.0000 0.0000 0.0000  4 Ni 2.42
Si 0.0000 0.5000 0.6209  5 Ni 2.36-2.37
Ni 0.0000 0.0000 0.5000  4 Si 2.37
Ni 0.0000 0.5000 0.8687  3 Si 2.36-2.42, 2 Cu 2.42
Ni 0.5000 0.5000 0.5000  4 Si 2.37



# 3
The following is a DFT calculation (GGA-PBE) of crystalline CaDy2InPd4 at its relaxed geometry.

Computed properties:
- calculated total energy (eV/atom) = -5.1136

Unit cell a=4.8724 b=4.8724 c=24.0804 alpha=90.00 beta=90.00 gamma=120.00
Last column: nearest neighbours and their distance in Å.
Space group R-3m (No. 166, hexagonal axes)
Asymmetric unit:
Ca 0.0000 0.0000 0.0000  8 Pd 3.02-3.05
Dy 0.0000 0.0000 0.2466  8 Pd 2.89-3.18
In 0.0000 0.0000 0.5000  8 Pd 2.93-2.97
Pd 0.0000 0.0000 0.1268  4 Dy 2.89-2.97, 3 In 2.97, 1 Ca 3.05
Pd 0.0000 0.0000 0.3785  1 In 2.93, 4 Dy 2.99-3.18, 3 Ca 3.02



# 4
The following is a DFT calculation (GGA-PBE) of crystalline BaSbRu3 at its relaxed geometry.

Computed properties:
- energy above the lowest structure with this stoichiometry (eV per atom) = 0.000

Unit cell a=4.9820 b=4.9820 c=4.9820 alpha=90.00 beta=90.00 gamma=90.00
Last column: nearest neighbours and their distance in Å.
Space group Pm-3m (No. 221)
Asymmetric unit:
Ba 0.0000 0.0000 0.0000  12 Ru 3.52
Sb 0.5000 0.5000 0.5000  6 Ru 2.49
Ru 0.0000 0.5000 0.5000  2 Sb 2.49



# 5
The following is a DFT calculation (GGA-PBE) of crystalline Dy4TmMg at its relaxed geometry.

Computed properties:
- energy above the lowest structure with this stoichiometry (eV per atom) = 0.000

Unit cell a=3.5390 b=3.5390 c=14.3298 alpha=90.00 beta=90.00 gamma=90.00
Last column: nearest neighbours and their distance in Å.
Space group P4/mmm (No. 123)
Asymmetric unit:
Dy 0.0000 0.0000 0.1550  4 Mg 3.35, 8 Dy 3.51-3.54
Dy 0.5000 0.5000 0.3265  8 Dy 3.51-3.54, 4 Tm 3.53
Tm 0.0000 0.0000 0.5000  8 Dy 3.53, 4 Tm 3.54
Mg 0.5000 0.5000 0.0000  8 Dy 3.35, 4 Mg 3.54



# 6
The following is a DFT calculation (GGA-PBE) of crystalline Y2SiW at its relaxed geometry.

Computed properties:
- calculated total energy (eV/atom) = -7.7032

Unit cell a=3.5505 b=3.5505 c=26.6057 alpha=90.00 beta=90.00 gamma=120.00
Last column: nearest neighbours and their distance in Å.
Space group R3m (No. 160, hexagonal axes)
Asymmetric unit:
Y 0.0000 0.0000 0.0000  3 Si 2.81
Y 0.0000 0.0000 0.2091  3 W 3.06
Si 0.0000 0.0000 0.7390  3 W 2.46
W 0.0000 0.0000 0.4568  3 Si 2.46



# 7
The following is a DFT calculation (GGA-PBE) of crystalline Cd3SeO6 at its relaxed geometry.

Computed properties:
- energy above the lowest structure with this stoichiometry (eV per atom) = 0.000

Unit cell a=9.1398 b=9.1398 c=11.0812 alpha=90.00 beta=90.00 gamma=120.00
Last column: nearest neighbours and their distance in Å.
Space group R-3 (No. 148, hexagonal axes)
Asymmetric unit:
Cd 0.0426 0.2640 0.2100  6 O 2.29-2.48
Se 0.0000 0.0000 0.0000  6 O 1.85
Se 0.0000 0.0000 0.5000  6 O 1.86
O 0.0285 0.1824 0.4076  1 Se 1.86
O 0.0345 0.1777 0.9006  1 Se 1.85



# 8
The following is a DFT calculation (GGA-PBE) of crystalline KScAg3 at its relaxed geometry.

Computed properties:
- energy above the lowest structure with this stoichiometry (eV per atom) = 0.000

Unit cell a=5.4133 b=5.4133 c=5.4133 alpha=90.00 beta=90.00 gamma=90.00
Last column: nearest neighbours and their distance in Å.
Space group Pm-3m (No. 221)
Asymmetric unit:
K 0.0000 0.0000 0.0000  12 Ag 3.83
Sc 0.5000 0.5000 0.5000  6 Ag 2.71
Ag 0.0000 0.5000 0.5000  2 Sc 2.71



| no. | spin magnetization (μB per cell) |
| --- | --- |
| 1 | 0.000 |
| 2 | 0.000 |
| 3 | 0.000 |
| 4 | 2.759 |
| 5 | 0.000 |
| 6 | 0.000 |
| 7 | 0.000 |
| 8 | 0.000 |